1.
# ZnReTc (PBEsol, relaxed)
# Total magnetization in μB per cell: 0.0
# Offset from the most stable computed form in meV/atom: 7
# DFT total energy in eV/atom: -8.69
# Formation energy from the elements in eV/atom: 0.0366
data_ZnReTc
_symmetry_space_group_name_H-M 'I 4 m m'
_symmetry_Int_Tables_number 107
_symmetry_space_group_name_Hall 'I 4 -2'
_cell_length_a 3.0509
_cell_length_b 3.0509
_cell_length_c 8.9801
_cell_angle_alpha 90.00
_cell_angle_beta 90.00
_cell_angle_gamma 90.00
loop_
_atom_site_label
_atom_site_type_symbol
_atom_site_fract_x
_atom_site_fract_y
_atom_site_fract_z
Zn1 Zn 0.0000 0.0000 0.0000
Re1 Re 0.0000 0.0000 0.6739
Tc1 Tc 0.0000 0.0000 0.3281

***

2.
# ZnReTc (PBEsol, relaxed)
# Total magnetization in μB per cell: 0.0
# Offset from the most stable computed form in meV/atom: 142
# DFT total energy in eV/atom: -8.56
# Formation energy from the elements in eV/atom: 0.1713
data_ZnReTc
_symmetry_space_group_name_H-M 'P 3 m 1'
_symmetry_Int_Tables_number 156
_cell_length_a 4.3046
_cell_length_b 4.3046
_cell_length_c 2.6292
_cell_angle_alpha 90.00
_cell_angle_beta 90.00
_cell_angle_gamma 120.00
loop_
_symmetry_equiv_pos_as_xyz
'x,y,z'
'-y,x-y,z'
'-x+y,-x,z'
'-y,-x,z'
'-x+y,y,z'
'x,x-y,z'
loop_
_atom_site_label
_atom_site_type_symbol
_atom_site_fract_x
_atom_site_fract_y
_atom_site_fract_z
Zn1 Zn 0.0000 0.0000 0.0000
Re1 Re 0.3333 0.6667 0.3752
Tc1 Tc 0.6667 0.3333 0.6338

***

3.
# ZnRe2Tc (PBEsol, relaxed)
# Total magnetization in μB per cell: 0.0
# DFT total energy in eV/atom: -9.58
# Formation energy from the elements in eV/atom: 0.3021
data_ZnRe2Tc
_symmetry_space_group_name_H-M 'P m m m'
_symmetry_Int_Tables_number 47
_cell_length_a 3.0332
_cell_length_b 4.3107
_cell_length_c 4.3307
_cell_angle_alpha 90.00
_cell_angle_beta 90.00
_cell_angle_gamma 90.00
loop_
_symmetry_equiv_pos_as_xyz
'x,y,z'
'-x,-y,-z'
'-x,-y,z'
'x,y,-z'
'x,-y,-z'
'-x,y,z'
'-x,y,-z'
'x,-y,z'
loop_
_atom_site_label
_atom_site_type_symbol
_atom_site_fract_x
_atom_site_fract_y
_atom_site_fract_z
Zn1 Zn 0.0000 0.0000 0.0000
Re1 Re 0.0000 0.5000 0.5000
Re2 Re 0.5000 0.0000 0.5000
Tc1 Tc 0.5000 0.5000 0.0000